12
Lattice="3.6654 -6.1174 0.0000 3.6654 6.1174 0.0000 -2.5658 0.0000 7.9656" Properties=species:S:1:pos:R:3 comment="Rb3Dy2MnSe6, optimized geometry, DFT PBE" dft_energy_ev_per_cell=-58.4 raw_formation_energy_ev_per_fu=-16.218 dos_ef_per_ev_cell=0.302 magnetic_moment_mub_per_cell=4.000 pbc="T T T"
Rb 0.0000 0.0000 0.0000
Rb 3.6654 2.1103 0.0000
Rb 3.6654 -2.1103 0.0000
Dy 2.3825 4.1287 3.9828
Dy 2.3825 -4.1287 3.9828
Mn 2.3825 0.0000 3.9828
Se 1.2947 1.8654 2.5437
Se -0.0984 0.0000 5.6241
Se 1.2947 -1.8654 2.5437
Se 3.4703 1.8654 5.4218
Se 4.8634 0.0000 2.3414
Se 3.4703 -1.8654 5.4218

=====

12
Lattice="3.4282 0.0000 0.0000 -1.7141 2.9689 0.0000 0.0000 0.0000 32.6773" Properties=species:S:1:pos:R:3 comment="Dy2YTc, optimized geometry, DFT PBE" dft_energy_ev_per_cell=-74.8 dos_ef_per_ev_cell=18.286 magnetic_moment_mub_per_cell=1.179 e_above_lowest_polymorph_mev_per_atom=376 pbc="T T T"
Dy 0.0000 0.0000 3.4257
Dy 0.0000 0.0000 29.2516
Dy 0.0000 1.9792 18.3592
Dy 0.0000 1.9792 25.2105
Dy 1.7141 0.9896 7.4667
Dy 1.7141 0.9896 14.3181
Y 0.0000 0.0000 0.0000
Y 0.0000 1.9792 21.7848
Y 1.7141 0.9896 10.8924
Tc 0.0000 0.0000 16.3386
Tc 0.0000 1.9792 5.4462
Tc 1.7141 0.9896 27.2310

=====

16
Lattice="4.8956 0.0000 0.0000 0.0000 4.8956 0.0000 0.0000 0.0000 11.7442" Properties=species:S:1:pos:R:3 comment="InTeN2, optimized geometry, DFT PBE" dft_energy_ev_per_cell=-77.3 raw_formation_energy_ev_per_fu=3.210 dos_ef_per_ev_cell=3.315 magnetic_moment_mub_per_cell=0.000 e_above_lowest_polymorph_mev_per_atom=120 pbc="T T T"
In 0.0000 0.0000 0.0000
In 0.0000 2.4478 2.9361
In 2.4478 0.0000 8.8082
In 2.4478 2.4478 5.8721
Te 0.0000 0.0000 5.8721
Te 0.0000 2.4478 8.8082
Te 2.4478 0.0000 2.9361
Te 2.4478 2.4478 0.0000
N 1.2145 1.2239 1.4680
N 1.2239 3.6623 4.4041
N 1.2239 3.6810 10.2762
N 1.2333 1.2239 7.3401
N 3.6623 3.6717 7.3401
N 3.6717 1.2145 10.2762
N 3.6717 1.2333 4.4041
N 3.6810 3.6717 1.4680

=====

5
Lattice="3.9349 0.0000 0.0000 0.0000 3.9349 0.0000 0.0000 0.0000 5.1543" Properties=species:S:1:pos:R:3 comment="TaNiSN2, optimized geometry, DFT PBE" dft_energy_ev_per_cell=-36.0 raw_formation_energy_ev_per_fu=2.408 dos_ef_per_ev_cell=4.744 magnetic_moment_mub_per_cell=2.337 e_above_lowest_polymorph_mev_per_atom=0 pbc="T T T"
Ta 0.0000 0.0000 0.0000
Ni 1.9675 1.9675 2.5772
S 0.0000 0.0000 2.5772
N 0.0000 1.9675 0.0000
N 1.9675 0.0000 0.0000

=====

5
Lattice="4.7532 0.0000 0.0000 0.0000 4.7532 0.0000 0.0000 0.0000 4.9787" Properties=species:S:1:pos:R:3 comment="Na2ZrTiBe, optimized geometry, DFT PBE" dft_energy_ev_per_cell=-17.3 dos_ef_per_ev_cell=5.870 magnetic_moment_mub_per_cell=2.722 pbc="T T T"
Na 0.0000 2.3766 0.0000
Na 2.3766 0.0000 0.0000
Zr 0.0000 0.0000 2.4894
Ti 2.3766 2.3766 2.4894
Be 2.3766 2.3766 0.0000

=====

8
Lattice="5.0414 0.0000 0.0000 0.0000 6.8070 0.0000 0.0000 0.0000 5.4250" Properties=species:S:1:pos:R:3 comment="NaCd3, optimized geometry, DFT PBE" dft_energy_ev_per_cell=-8.8 dos_ef_per_ev_cell=2.733 magnetic_moment_mub_per_cell=0.000 pbc="T T T"
Na 1.2604 1.7017 0.9654
Na 3.7811 5.1052 4.4596
Cd 1.2604 0.0279 3.7020
Cd 1.2604 3.3756 3.7020
Cd 1.2604 5.1052 1.0653
Cd 3.7811 1.7017 4.3598
Cd 3.7811 3.4314 1.7231
Cd 3.7811 6.7790 1.7231

=====

12
Lattice="3.6514 0.0000 0.0000 -1.8257 3.1622 0.0000 0.0000 0.0000 25.5075" Properties=species:S:1:pos:R:3 comment="AlCdCl2, optimized geometry, DFT PBE" dft_energy_ev_per_cell=-32.9 raw_formation_energy_ev_per_fu=-2.629 dos_ef_per_ev_cell=1.679 magnetic_moment_mub_per_cell=0.000 e_above_lowest_polymorph_mev_per_atom=28 pbc="T T T"
Al 0.0000 0.0000 0.0000
Al 0.0000 2.1081 17.0050
Al 1.8257 1.0541 8.5025
Cd 0.0000 0.0000 18.9343
Cd 0.0000 2.1081 10.4317
Cd 1.8257 1.0541 1.9292
Cl 0.0000 0.0000 6.9950
Cl 0.0000 0.0000 12.0904
Cl 0.0000 2.1081 3.5879
Cl 0.0000 2.1081 24.0000
Cl 1.8257 1.0541 15.4975
Cl 1.8257 1.0541 20.5930

=====

5
Lattice="5.7355 0.0000 0.0000 0.0000 5.7355 0.0000 0.0000 0.0000 3.2867" Properties=species:S:1:pos:R:3 comment="ZnPNCl2, optimized geometry, DFT PBE" dft_energy_ev_per_cell=-15.2 raw_formation_energy_ev_per_fu=3.490 dos_ef_per_ev_cell=4.328 magnetic_moment_mub_per_cell=0.000 e_above_lowest_polymorph_mev_per_atom=0 pbc="T T T"
Zn 0.0000 0.0000 0.0000
P 2.8677 2.8677 0.0000
N 2.8677 2.8677 1.6434
Cl 0.0000 2.8677 1.6434
Cl 2.8677 0.0000 1.6434

=====

20
Lattice="9.6279 0.0000 0.0000 0.0000 9.6279 0.0000 0.0000 0.0000 3.4528" Properties=species:S:1:pos:R:3 comment="Tm2MgBe2Pd5, optimized geometry, DFT PBE" dft_energy_ev_per_cell=-103.7 dos_ef_per_ev_cell=7.800 magnetic_moment_mub_per_cell=0.000 pbc="T T T"
Tm 1.7017 3.1123 0.0000
Tm 3.1123 7.9262 0.0000
Tm 6.5156 1.7017 0.0000
Tm 7.9262 6.5156 0.0000
Mg 0.0000 0.0000 0.0000
Mg 4.8139 4.8139 0.0000
Be 1.1544 5.9683 0.0000
Be 3.6596 1.1544 0.0000
Be 5.9683 8.4735 0.0000
Be 8.4735 3.6596 0.0000
Pd 0.0000 4.8139 1.7264
Pd 0.6665 7.5379 1.7264
Pd 2.0900 0.6665 1.7264
Pd 2.7239 5.4804 1.7264
Pd 4.1475 2.7239 1.7264
Pd 4.8139 0.0000 1.7264
Pd 5.4804 6.9040 1.7264
Pd 6.9040 4.1475 1.7264
Pd 7.5379 8.9614 1.7264
Pd 8.9614 2.0900 1.7264

=====

5
Lattice="5.4756 0.0000 0.0000 0.0000 5.4756 0.0000 0.0000 0.0000 5.4756" Properties=species:S:1:pos:R:3 comment="CdSb3Se, optimized geometry, DFT PBE" dft_energy_ev_per_cell=-12.4 raw_formation_energy_ev_per_fu=4.395 dos_ef_per_ev_cell=7.032 magnetic_moment_mub_per_cell=0.000 pbc="T T T"
Cd 0.0000 0.0000 0.0000
Sb 0.0000 0.0000 2.7378
Sb 0.0000 2.7378 0.0000
Sb 2.7378 0.0000 0.0000
Se 2.7378 2.7378 2.7378

=====

3
Lattice="3.8337 0.0000 0.0000 -1.9169 3.3201 0.0000 0.0000 0.0000 3.7109" Properties=species:S:1:pos:R:3 comment="CeHO, optimized geometry, DFT PBE" dft_energy_ev_per_cell=-19.6 dos_ef_per_ev_cell=5.000 magnetic_moment_mub_per_cell=1.005 e_above_lowest_polymorph_mev_per_atom=327 pbc="T T T"
Ce 0.0000 0.0000 0.0000
H 1.9169 1.1067 1.8496
O 0.0000 2.2134 3.7072

=====

8
Lattice="6.1313 0.0000 0.0000 0.0000 7.2049 0.0000 0.0000 0.0000 4.3429" Properties=species:S:1:pos:R:3 comment="LaSe3, optimized geometry, DFT PBE" dft_energy_ev_per_cell=-38.5 raw_formation_energy_ev_per_fu=-3.882 dos_ef_per_ev_cell=5.486 magnetic_moment_mub_per_cell=0.000 pbc="T T T"
La 0.0000 0.0000 0.0000
La 3.0657 3.6024 0.0000
Se 0.0000 3.6024 0.0000
Se 1.5328 1.8012 2.1715
Se 1.5328 5.4037 2.1715
Se 3.0657 0.0000 0.0000
Se 4.5985 1.8012 2.1715
Se 4.5985 5.4037 2.1715

=====

4
Lattice="3.8232 0.0000 0.0000 0.0000 4.6319 0.0000 -1.2020 0.0000 6.0019" Properties=species:S:1:pos:R:3 comment="SrSiHg2, optimized geometry, DFT PBE" dft_energy_ev_per_cell=-8.1 raw_formation_energy_ev_per_fu=-0.411 dos_ef_per_ev_cell=1.340 magnetic_moment_mub_per_cell=0.000 pbc="T T T"
Sr 0.0000 0.0000 0.0000
Si 1.3106 0.0000 3.0009
Hg 0.5830 2.3159 4.3757
Hg 2.0382 2.3159 1.6261

=====

10
Lattice="-3.5851 4.9926 2.6951 3.5851 -4.9926 2.6951 3.5851 4.9926 -2.6951" Properties=species:S:1:pos:R:3 comment="Cl2F3, optimized geometry, DFT PBE" dft_energy_ev_per_cell=-21.5 raw_formation_energy_ev_per_fu=-1.460 dos_ef_per_ev_cell=2.745 magnetic_moment_mub_per_cell=0.000 pbc="T T T"
Cl 0.0617 1.9355 0.0000
Cl 3.6468 3.0572 0.0000
Cl -0.0617 1.9355 2.6951
Cl 3.5234 3.0572 2.6951
F 3.7263 1.3787 0.0000
F 0.0000 0.0000 1.3476
F 0.1412 3.6139 0.0000
F 3.4438 1.3787 2.6951
F 0.0000 0.0000 4.0427
F -0.1412 3.6139 2.6951

=====

5
Lattice="5.5987 0.0000 0.0000 0.0000 5.5987 0.0000 0.0000 0.0000 5.5987" Properties=species:S:1:pos:R:3 comment="La3MgRh, optimized geometry, DFT PBE" dft_energy_ev_per_cell=-25.1 dos_ef_per_ev_cell=6.013 magnetic_moment_mub_per_cell=0.003 e_above_lowest_polymorph_mev_per_atom=79 pbc="T T T"
La 0.0000 0.0000 2.7993
La 0.0000 2.7993 0.0000
La 2.7993 0.0000 0.0000
Mg 2.7993 2.7993 2.7993
Rh 0.0000 0.0000 0.0000

=====

12
Lattice="3.0148 0.0000 0.0000 -1.5074 2.6109 0.0000 0.0000 0.0000 20.9364" Properties=species:S:1:pos:R:3 comment="BeRh2Se, optimized geometry, DFT PBE" dft_energy_ev_per_cell=-67.0 raw_formation_energy_ev_per_fu=-0.427 dos_ef_per_ev_cell=10.862 magnetic_moment_mub_per_cell=0.000 e_above_lowest_polymorph_mev_per_atom=98 pbc="T T T"
Be 0.0000 0.0000 0.0000
Be 0.0000 1.7406 13.9576
Be 1.5074 0.8703 6.9788
Rh 0.0000 0.0000 5.4657
Rh 0.0000 0.0000 15.4707
Rh 0.0000 1.7406 8.4919
Rh 0.0000 1.7406 19.4232
Rh 1.5074 0.8703 1.5131
Rh 1.5074 0.8703 12.4444
Se 0.0000 0.0000 10.4682
Se 0.0000 1.7406 3.4894
Se 1.5074 0.8703 17.4470

=====

5
Lattice="4.5480 0.0000 0.0000 0.0000 4.5480 0.0000 0.0000 0.0000 3.5342" Properties=species:S:1:pos:R:3 comment="Sc2CoRuC, optimized geometry, DFT PBE" dft_energy_ev_per_cell=-39.9 dos_ef_per_ev_cell=3.399 magnetic_moment_mub_per_cell=0.028 pbc="T T T"
Sc 0.0000 2.2740 0.0000
Sc 2.2740 0.0000 0.0000
Co 0.0000 0.0000 1.7671
Ru 2.2740 2.2740 1.7671
C 0.0000 0.0000 0.0000

=====

12
Lattice="4.1422 0.0000 0.0000 -2.0711 3.5873 0.0000 0.0000 0.0000 23.2510" Properties=species:S:1:pos:R:3 comment="LiY2Te, optimized geometry, DFT PBE" dft_energy_ev_per_cell=-59.8 raw_formation_energy_ev_per_fu=-1.933 dos_ef_per_ev_cell=12.765 magnetic_moment_mub_per_cell=0.000 e_above_lowest_polymorph_mev_per_atom=201 pbc="T T T"
Li 0.0000 0.0000 0.0000
Li 0.0000 2.3915 15.5007
Li 2.0711 1.1958 7.7503
Y 0.0000 0.0000 5.7762
Y 0.0000 0.0000 17.4749
Y 0.0000 2.3915 9.7245
Y 0.0000 2.3915 21.2769
Y 2.0711 1.1958 1.9742
Y 2.0711 1.1958 13.5265
Te 0.0000 0.0000 11.6255
Te 0.0000 2.3915 3.8752
Te 2.0711 1.1958 19.3759

=====

4
Lattice="3.8889 0.0000 0.0000 0.0000 4.5818 0.0000 -0.1291 0.0000 4.7362" Properties=species:S:1:pos:R:3 comment="LaCu2Pt, optimized geometry, DFT PBE" dft_energy_ev_per_cell=-20.7 dos_ef_per_ev_cell=2.862 magnetic_moment_mub_per_cell=0.000 e_above_lowest_polymorph_mev_per_atom=125 pbc="T T T"
La 0.0000 0.0000 0.0000
Cu 1.7875 2.2909 3.5555
Cu 1.9724 2.2909 1.1806
Pt 1.8799 0.0000 2.3681

=====

8
Lattice="4.5015 0.0000 0.0000 0.0000 4.5015 0.0000 0.0000 0.0000 10.9450" Properties=species:S:1:pos:R:3 comment="Ba2PtRh, optimized geometry, DFT PBE" dft_energy_ev_per_cell=-35.1 dos_ef_per_ev_cell=9.937 magnetic_moment_mub_per_cell=0.000 pbc="T T T"
Ba 0.0000 0.0000 0.0000
Ba 0.0000 2.2508 2.7362
Ba 2.2508 0.0000 8.2087
Ba 2.2508 2.2508 5.4725
Pt 0.0000 2.2508 8.2087
Pt 2.2508 0.0000 2.7362
Rh 0.0000 0.0000 5.4725
Rh 2.2508 2.2508 0.0000